No. 1
A plane-wave DFT calculation with PBE was carried out for a relaxed structure of SrLaI5.

Cell lengths 10.4742, 10.4742, 8.3484 Å; angles 86.08, 86.08, 135.23 degrees
With the nearest neighbours (Å) after each atom.
Atoms (fractional coordinates):
Sr: 0.0035 0.5971 0.2860  7 I 3.29-3.61
Sr: 0.5971 0.0035 0.7860  7 I 3.29-3.61
La: 0.7748 0.9400 0.2563  7 I 3.20-3.51
La: 0.9400 0.7748 0.7563  7 I 3.20-3.51
I: 0.6983 0.5817 0.1248  2 La 3.28-3.51, 1 Sr 3.46
I: 0.7753 0.2404 0.0858  2 Sr 3.29-3.34, 1 La 3.36
I: 0.6808 0.3909 0.6262  1 La 3.20, 1 Sr 3.41
I: 0.9480 0.2548 0.4782  1 La 3.22, 2 Sr 3.33-3.45
I: 0.5817 0.6983 0.6248  2 La 3.28-3.51, 1 Sr 3.46
I: 0.0962 0.9986 0.3901  2 La 3.23-3.26
I: 0.2404 0.7753 0.5858  2 Sr 3.29-3.34, 1 La 3.36
I: 0.3909 0.6808 0.1262  1 La 3.20, 1 Sr 3.41
I: 0.2548 0.9480 0.9782  1 La 3.22, 2 Sr 3.33-3.45
I: 0.9986 0.0962 0.8901  2 La 3.23-3.26

**Energy relative to the elements, uncorrected**: -1.56 eV per atom
**Symmetry**: Cc
**Distance to the lowest polymorph of the same formula**: 0.012 eV per atom
**D(E_F)**: 0.000 states/eV per cell
**Size of the total moment**: 0.0 μB per cell
**ρ**: 4.506 g/cm³


No. 2
A plane-wave DFT calculation with PBE was carried out for a relaxed structure of LiSb2Te.

Cell lengths 5.3783, 5.3783, 3.7758 Å; angles 90.00, 90.00, 106.94 degrees
With the nearest neighbours (Å) after each atom.
Atoms (fractional coordinates):
Li: 0.0000 0.5000 0.5000  2 Te 3.20, 8 Sb 3.29
Sb: 0.0000 0.0000 0.0000  2 Sb 3.20, 4 Te 3.29, 4 Li 3.29
Sb: 0.5000 0.5000 0.0000  2 Sb 3.20, 4 Li 3.29, 4 Te 3.29
Te: 0.5000 0.0000 0.5000  2 Li 3.20, 8 Sb 3.29

**Energy relative to the elements, uncorrected**: -0.05 eV per atom
**Symmetry**: Cmmm
**D(E_F)**: 1.604 states/eV per cell
**Size of the total moment**: 0.0 μB per cell
**ρ**: 6.008 g/cm³